Entry 1:
Entry from the Alexandria database: a geometry-optimized Co2PO4 structure (GGA+U).

E_tot: -6.362 eV/atom

Unit cell a=5.412 b=5.412 c=5.920 alpha=90.00 beta=90.00 gamma=90.00
Fractional coordinates of all 14 atoms:
Co1 0.000 0.500 0.000
Co2 0.000 0.500 0.500
Co3 0.500 0.000 0.000
Co4 0.500 0.000 0.500
P1 0.000 0.000 0.000
P2 0.500 0.500 0.500
O1 0.177 0.177 0.133
O2 0.177 0.823 0.867
O3 0.323 0.323 0.633
O4 0.323 0.677 0.367
O5 0.677 0.323 0.367
O6 0.677 0.677 0.633
O7 0.823 0.177 0.867
O8 0.823 0.823 0.133


Entry 2:
Entry from the Alexandria database: a geometry-optimized CoP4O12 structure (GGA+U).

Distance to the lowest polymorph of the same formula: 2.1 meV per atom

Unit cell a=5.254 b=13.339 c=7.374 alpha=90.00 beta=100.03 gamma=90.00
Fractional coordinates of all 34 atoms:
Co1 0.006 0.000 0.009
Co2 0.994 0.500 0.991
P1 0.319 0.593 0.374
P2 0.371 0.932 0.392
P3 0.480 0.365 0.956
P4 0.488 0.139 0.962
P5 0.512 0.639 0.038
P6 0.520 0.865 0.044
P7 0.629 0.432 0.608
P8 0.681 0.093 0.626
O1 0.119 0.523 0.265
O2 0.121 0.964 0.272
O3 0.193 0.687 0.429
O4 0.224 0.376 0.017
O5 0.230 0.127 0.020
O6 0.285 0.579 0.939
O7 0.296 0.928 0.948
O8 0.369 0.868 0.558
O9 0.420 0.752 0.018
O10 0.445 0.381 0.737
O11 0.456 0.118 0.742
O12 0.472 0.536 0.547
O13 0.528 0.036 0.453
O14 0.544 0.618 0.258
O15 0.555 0.881 0.263
O16 0.580 0.252 0.982
O17 0.631 0.368 0.442
O18 0.704 0.428 0.052
O19 0.715 0.079 0.061
O20 0.770 0.627 0.980
O21 0.776 0.876 0.983
O22 0.807 0.187 0.571
O23 0.879 0.464 0.728
O24 0.881 0.023 0.735


Entry 3:
Entry from the Alexandria database: a geometry-optimized Co2P5O16 structure (GGA+U).

E_tot: -6.822 eV/atom

Unit cell a=4.888 b=6.613 c=18.527 alpha=90.00 beta=91.27 gamma=90.00
Fractional coordinates of all 46 atoms:
Co1 0.239 0.175 0.406
Co2 0.239 0.825 0.906
Co3 0.761 0.175 0.094
Co4 0.761 0.825 0.594
P1 0.000 0.250 0.250
P2 0.000 0.750 0.750
P3 0.250 0.127 0.574
P4 0.250 0.873 0.074
P5 0.271 0.450 0.130
P6 0.271 0.550 0.630
P7 0.729 0.450 0.370
P8 0.729 0.550 0.870
P9 0.750 0.127 0.926
P10 0.750 0.873 0.426
O1 0.053 0.057 0.933
O2 0.053 0.943 0.433
O3 0.073 0.344 0.079
O4 0.073 0.656 0.579
O5 0.146 0.124 0.307
O6 0.146 0.876 0.807
O7 0.208 0.403 0.213
O8 0.208 0.597 0.713
O9 0.228 0.313 0.631
O10 0.228 0.687 0.131
O11 0.350 0.218 0.504
O12 0.350 0.782 0.004
O13 0.425 0.418 0.381
O14 0.425 0.582 0.881
O15 0.438 0.023 0.113
O16 0.438 0.977 0.613
O17 0.562 0.023 0.387
O18 0.562 0.977 0.887
O19 0.575 0.418 0.119
O20 0.575 0.582 0.619
O21 0.650 0.218 0.996
O22 0.650 0.782 0.496
O23 0.772 0.313 0.869
O24 0.772 0.687 0.369
O25 0.792 0.403 0.287
O26 0.792 0.597 0.787
O27 0.854 0.124 0.193
O28 0.854 0.876 0.693
O29 0.927 0.344 0.421
O30 0.927 0.656 0.921
O31 0.947 0.057 0.567
O32 0.947 0.943 0.067


What did the third record say?
Entry from the Alexandria database: a geometry-optimized Co2P5O16 structure (GGA+U).

E_tot: -6.822 eV/atom

Unit cell a=4.888 b=6.613 c=18.527 alpha=90.00 beta=91.27 gamma=90.00
Fractional coordinates of all 46 atoms:
Co1 0.239 0.175 0.406
Co2 0.239 0.825 0.906
Co3 0.761 0.175 0.094
Co4 0.761 0.825 0.594
P1 0.000 0.250 0.250
P2 0.000 0.750 0.750
P3 0.250 0.127 0.574
P4 0.250 0.873 0.074
P5 0.271 0.450 0.130
P6 0.271 0.550 0.630
P7 0.729 0.450 0.370
P8 0.729 0.550 0.870
P9 0.750 0.127 0.926
P10 0.750 0.873 0.426
O1 0.053 0.057 0.933
O2 0.053 0.943 0.433
O3 0.073 0.344 0.079
O4 0.073 0.656 0.579
O5 0.146 0.124 0.307
O6 0.146 0.876 0.807
O7 0.208 0.403 0.213
O8 0.208 0.597 0.713
O9 0.228 0.313 0.631
O10 0.228 0.687 0.131
O11 0.350 0.218 0.504
O12 0.350 0.782 0.004
O13 0.425 0.418 0.381
O14 0.425 0.582 0.881
O15 0.438 0.023 0.113
O16 0.438 0.977 0.613
O17 0.562 0.023 0.387
O18 0.562 0.977 0.887
O19 0.575 0.418 0.119
O20 0.575 0.582 0.619
O21 0.650 0.218 0.996
O22 0.650 0.782 0.496
O23 0.772 0.313 0.869
O24 0.772 0.687 0.369
O25 0.792 0.403 0.287
O26 0.792 0.597 0.787
O27 0.854 0.124 0.193
O28 0.854 0.876 0.693
O29 0.927 0.344 0.421
O30 0.927 0.656 0.921
O31 0.947 0.057 0.567
O32 0.947 0.943 0.067


Question: What is the formula in the second record?
Answer: CoP4O12